1.
First-principles (PBE) data for a geometry-optimized Mn5CrB2W2 structure, as listed in Alexandria via LeMat-Bulk.

Cell lengths 8.5942, 8.5942, 2.8983 Å; angles 90.00, 90.00, 90.00 degrees
Space group P4/mbm (No. 127)
Unique sites:
Mn 0.0000 0.5000 0.0000 x2
Mn 0.0673 0.2121 0.0000 x8
Cr 0.0000 0.0000 0.5000 x2
B 0.1226 0.3774 0.5000 x4
W 0.1767 0.6767 0.5000 x4

Summary:
Final energy, hartree per atom: -0.3577
V, Å³ per cell: 214.1

=====

2.
First-principles (PBE) data for a geometry-optimized ReHgBr2 structure, as listed in Alexandria via LeMat-Bulk.

Cell lengths 3.1213, 5.9946, 10.8993 Å; angles 90.00, 90.00, 90.00 degrees
Space group Cmmm (No. 65)
Unique sites:
Re 0.0000 0.0000 0.0000 x2
Hg 0.0000 0.0000 0.5000 x2
Br 0.0000 0.5000 0.1836 x4

Summary:
V, Å³ per cell: 203.9
Excess energy over the best structure of this formula in the dataset, eV/atom: 0.204
Formation energy without anion corrections, eV/atom: 0.494

=====

3.
First-principles (PBE) data for a geometry-optimized ScVIr2 structure, as listed in Alexandria via LeMat-Bulk.

Cell lengths 2.9349, 2.9349, 7.1893 Å; angles 90.00, 90.00, 90.00 degrees
Space group P4/mmm (No. 123)
Unique sites:
Sc 0.0000 0.0000 0.0000 x1
V 0.0000 0.0000 0.5000 x1
Ir 0.5000 0.5000 0.2776 x2

Summary:
Final energy, hartree per atom: -0.3294
V, Å³ per cell: 61.9

=====

> Look up the V of the first one.

214.1 Å³ per cell